[1]
Density functional theory data (PBE) for a relaxed Cu2AgGe crystal.

ΔE_f ... 96 meV/atom
Crystal system ... tetragonal
E_tot ... -15.28 eV for the cell shown

abc: 3.146 3.146 5.979
angles: 90.00 90.00 90.00
Positions (direct):
Cu1 0.000 0.000 0.232
Cu2 0.000 0.000 0.768
Ag1 0.500 0.500 0.500
Ge1 0.500 0.500 0.000

***

[2]
Density functional theory data (PBE) for a relaxed HfTl2InI8 crystal.

Formation energy (no corrections) ... -0.663 eV/atom
Crystal system ... triclinic
E_tot ... -37.78 eV for the cell shown

abc: 7.349 8.192 9.095
angles: 89.97 89.96 89.04
Positions (direct):
Hf1 0.000 0.000 0.000
Tl1 0.500 0.500 0.250
Tl2 0.500 0.500 0.750
In1 0.000 0.000 0.500
I1 0.202 0.703 0.000
I2 0.231 0.127 0.226
I3 0.231 0.127 0.774
I4 0.236 0.689 0.500
I5 0.764 0.311 0.500
I6 0.769 0.873 0.226
I7 0.769 0.873 0.774
I8 0.798 0.297 0.000

***

[3]
Density functional theory data (PBE) for a relaxed MnHg2Ir crystal.

ΔE_f ... 429 meV/atom
ΔE to the lowest computed polymorph ... 216.3 meV per atom
Crystal system ... cubic
E_tot ... -67.67 eV for the cell shown

abc: 6.588 6.588 6.588
angles: 90.00 90.00 90.00
Positions (direct):
Mn1 0.000 0.000 0.000
Mn2 0.000 0.500 0.500
Mn3 0.500 0.000 0.500
Mn4 0.500 0.500 0.000
Hg1 0.000 0.000 0.500
Hg2 0.000 0.500 0.000
Hg3 0.250 0.250 0.250
Hg4 0.250 0.750 0.750
Hg5 0.500 0.000 0.000
Hg6 0.500 0.500 0.500
Hg7 0.750 0.250 0.750
Hg8 0.750 0.750 0.250
Ir1 0.250 0.250 0.750
Ir2 0.250 0.750 0.250
Ir3 0.750 0.250 0.250
Ir4 0.750 0.750 0.750

***

[4]
Density functional theory data (PBE) for a relaxed La2OsC crystal.

ΔE_f ... 687 meV/atom
Crystal system ... tetragonal
E_tot ... -110.24 eV for the cell shown

abc: 7.196 7.196 7.067
angles: 90.00 90.00 90.00
Positions (direct):
La1 0.215 0.250 0.125
La2 0.250 0.715 0.375
La3 0.250 0.785 0.875
La4 0.285 0.250 0.625
La5 0.715 0.750 0.625
La6 0.750 0.215 0.875
La7 0.750 0.285 0.375
La8 0.785 0.750 0.125
Os1 0.000 0.000 0.500
Os2 0.000 0.500 0.750
Os3 0.500 0.000 0.250
Os4 0.500 0.500 0.000
C1 0.000 0.000 0.000
C2 0.000 0.500 0.250
C3 0.500 0.000 0.750
C4 0.500 0.500 0.500

***

[5]
Density functional theory data (PBE) for a relaxed Tb2Y3Pt2 crystal.

ΔE_f ... -779 meV/atom
Crystal system ... monoclinic
E_tot ... -92.37 eV for the cell shown

abc: 12.333 3.757 9.097
angles: 90.00 116.03 90.00
Positions (direct):
Tb1 0.165 0.000 0.313
Tb2 0.335 0.500 0.687
Tb3 0.665 0.500 0.313
Tb4 0.835 0.000 0.687
Y1 0.000 0.500 0.500
Y2 0.114 0.500 0.934
Y3 0.386 0.000 0.066
Y4 0.500 0.000 0.500
Y5 0.614 0.000 0.934
Y6 0.886 0.500 0.066
Pt1 0.176 0.000 0.738
Pt2 0.324 0.500 0.262
Pt3 0.676 0.500 0.738
Pt4 0.824 0.000 0.262

***

[6]
Density functional theory data (PBE) for a relaxed SnTe2RhN crystal.

ΔE to the lowest computed polymorph ... 0.0 meV per atom
Formation energy (no corrections) ... 0.247 eV/atom
Crystal system ... tetragonal
E_tot ... -24.73 eV for the cell shown

abc: 5.609 5.609 3.695
angles: 90.00 90.00 90.00
Positions (direct):
Sn1 0.000 0.000 0.000
Te1 0.000 0.500 0.500
Te2 0.500 0.000 0.500
Rh1 0.500 0.500 0.500
N1 0.500 0.500 0.000

***

[7]
Density functional theory data (PBE) for a relaxed Si2WCl crystal.

ΔE to the lowest computed polymorph ... 267.7 meV per atom
Formation energy (no corrections) ... 0.501 eV/atom
Crystal system ... orthorhombic
E_tot ... -23.64 eV for the cell shown

abc: 2.796 4.232 5.191
angles: 90.00 90.00 90.00
Positions (direct):
Si1 0.000 0.000 0.243
Si2 0.000 0.000 0.757
W1 0.500 0.500 0.000
Cl1 0.500 0.500 0.500

***

[8]
Density functional theory data (PBE) for a relaxed Na2Yb2B2TeO10 crystal.

Formation energy (no corrections) ... -2.180 eV/atom
Crystal system ... monoclinic
E_tot ... -217.67 eV for the cell shown

abc: 6.352 10.096 6.815
angles: 90.00 103.57 90.00
Positions (direct):
Na1 0.087 0.111 0.166
Na2 0.087 0.389 0.666
Na3 0.913 0.611 0.334
Na4 0.913 0.889 0.834
Yb1 0.377 0.666 0.976
Yb2 0.377 0.834 0.476
Yb3 0.623 0.166 0.524
Yb4 0.623 0.334 0.024
B1 0.162 0.099 0.634
B2 0.162 0.401 0.134
B3 0.838 0.599 0.866
B4 0.838 0.901 0.366
Te1 0.500 0.000 0.000
Te2 0.500 0.500 0.500
O1 0.016 0.674 0.939
O2 0.016 0.826 0.439
O3 0.204 0.058 0.838
O4 0.204 0.442 0.338
O5 0.297 0.061 0.512
O6 0.297 0.439 0.012
O7 0.341 0.616 0.638
O8 0.341 0.884 0.138
O9 0.490 0.149 0.176
O10 0.490 0.351 0.676
O11 0.510 0.649 0.324
O12 0.510 0.851 0.824
O13 0.659 0.116 0.862
O14 0.659 0.384 0.362
O15 0.703 0.561 0.988
O16 0.703 0.939 0.488
O17 0.796 0.558 0.662
O18 0.796 0.942 0.162
O19 0.984 0.174 0.561
O20 0.984 0.326 0.061

***

[9]
Density functional theory data (PBE) for a relaxed Si2BMoN crystal.

Formation energy (no corrections) ... 1.454 eV/atom
Crystal system ... tetragonal
E_tot ... -29.41 eV for the cell shown

abc: 4.843 4.843 3.830
angles: 90.00 90.00 90.00
Positions (direct):
Si1 0.000 0.500 0.000
Si2 0.500 0.000 0.000
B1 0.000 0.000 0.500
Mo1 0.500 0.500 0.000
N1 0.500 0.500 0.500

***

[10]
Density functional theory data (PBE) for a relaxed K4La3PbO8 crystal.

Formation energy (no corrections) ... -2.272 eV/atom
Crystal system ... trigonal
E_tot ... -98.90 eV for the cell shown

abc: 7.631 7.631 7.631
angles: 57.96 57.96 57.96
Positions (direct):
K1 0.000 0.000 0.000
K2 0.000 0.500 0.500
K3 0.500 0.000 0.500
K4 0.500 0.500 0.000
La1 0.000 0.000 0.500
La2 0.000 0.500 0.000
La3 0.500 0.000 0.000
Pb1 0.500 0.500 0.500
O1 0.229 0.229 0.229
O2 0.230 0.734 0.734
O3 0.266 0.266 0.770
O4 0.266 0.770 0.266
O5 0.734 0.230 0.734
O6 0.734 0.734 0.230
O7 0.770 0.266 0.266
O8 0.771 0.771 0.771

***

- Which value of E_tot does entry 5 give?
  -92.37 eV for the cell shown

***

- Look up the E_tot of the second one.
  -37.78 eV for the cell shown

***

- Among the records above, which one has the lowest E_tot?
  Na2Yb2B2TeO10